Record 1
Computed, not measured: a relaxed BaCaGeN3 crystal at the PBE level of DFT.

Cell lengths 3.419, 12.525, 10.157 Å; angles 90.00, 90.00, 90.00 degrees
Space group Cmcm (No. 63)
One atom of each set of equivalent atoms:
Ba  0.000  0.248  0.250 x4
Ca  0.000  0.500  0.000 x4
Ge  0.000  0.024  0.750 x4
N  0.000  0.110  0.601 x8
N  0.000  0.436  0.750 x4

Fermi-level density of states: 12.91 states/eV per cell
M_tot: 1.02 μB per formula unit
Total DFT energy (no corrections): -5.904 eV per atom
Mass density: 4460 kg/m³
Crystal system: orthorhombic

***

Record 2
Computed, not measured: a relaxed BaNaCa2Ge crystal at the PBE level of DFT.

Cell lengths 5.842, 5.842, 6.565 Å; angles 90.00, 90.00, 90.00 degrees
Space group P4/mmm (No. 123)
One atom of each set of equivalent atoms:
Ba  0.000  0.000  0.000 x1
Na  0.500  0.500  0.000 x1
Ca  0.000  0.500  0.500 x2
Ge  0.000  0.000  0.500 x1

Formation enthalpy at 0 K: -1.03 eV per formula unit
Fermi-level density of states: 3.75 states/eV per cell
M_tot: 0.00 μB per formula unit
Mass density: 2321 kg/m³
Crystal system: tetragonal

***

Record 3
Computed, not measured: a relaxed BaCaNi2Ge crystal at the PBE level of DFT.

Cell lengths 4.723, 4.723, 5.341 Å; angles 90.00, 90.00, 90.00 degrees
Space group P4/mmm (No. 123)
One atom of each set of equivalent atoms:
Ba  0.000  0.000  0.000 x1
Ca  0.500  0.500  0.000 x1
Ni  0.000  0.500  0.500 x2
Ge  0.500  0.500  0.500 x1

Formation enthalpy at 0 K: 0.86 eV per formula unit
Fermi-level density of states: 5.83 states/eV per cell
M_tot: 0.02 μB per formula unit
Mass density: 5122 kg/m³
Crystal system: tetragonal

***

Record 4
Computed, not measured: a relaxed Ba2CaGe2O6 crystal at the PBE level of DFT.

Cell lengths 6.0135, 6.0135, 18.8486 Å; angles 90.00, 90.00, 120.00 degrees
Space group R-3m (No. 166, hexagonal axes)
One atom of each set of equivalent atoms:
Ba  0.0000  0.0000  0.2211 x6
Ca  0.0000  0.0000  0.0000 x3
Ge  0.0000  0.0000  0.4380 x6
O  0.0032  0.5016  0.2530 x18

Fermi-level density of states: 0.00 states/eV per cell
M_tot: 0.00 μB per formula unit
Total DFT energy (no corrections): -6.328 eV per atom
Mass density: 4692 kg/m³
Crystal system: trigonal

***

Record 5
Computed, not measured: a relaxed Ba2CaGe3Pd4 crystal at the PBE level of DFT.

Cell lengths 4.534, 4.534, 11.105 Å; angles 90.00, 90.00, 90.00 degrees
Space group P-4m2 (No. 115)
One atom of each set of equivalent atoms:
Ba  0.000  0.500  0.236 x2
Ca  0.000  0.000  0.500 x1
Ge  0.000  0.500  0.889 x2
Ge  0.500  0.500  0.500 x1
Pd  0.000  0.000  0.000 x1
Pd  0.000  0.500  0.653 x2
Pd  0.500  0.500  0.000 x1

Formation enthalpy at 0 K: -6.65 eV per formula unit
Fermi-level density of states: 6.36 states/eV per cell
M_tot: 0.00 μB per formula unit
Mass density: 6970 kg/m³
Crystal system: tetragonal

***

Record 6
Computed, not measured: a relaxed Ba2CaGe3Pt4 crystal at the PBE level of DFT.

Cell lengths 4.546, 4.546, 10.955 Å; angles 90.00, 90.00, 90.00 degrees
Space group P-4m2 (No. 115)
One atom of each set of equivalent atoms:
Ba  0.000  0.500  0.239 x2
Ca  0.000  0.000  0.500 x1
Ge  0.000  0.500  0.887 x2
Ge  0.500  0.500  0.500 x1
Pt  0.000  0.000  0.000 x1
Pt  0.000  0.500  0.652 x2
Pt  0.500  0.500  0.000 x1

Formation enthalpy at 0 K: -7.67 eV per formula unit
Fermi-level density of states: 6.01 states/eV per cell
M_tot: 0.00 μB per formula unit
Mass density: 9630 kg/m³
Crystal system: tetragonal

***

Record 7
Computed, not measured: a relaxed RbBa2CaGe crystal at the PBE level of DFT.

Cell lengths 6.710, 6.710, 5.980 Å; angles 90.00, 90.00, 90.00 degrees
Space group P4/mmm (No. 123)
One atom of each set of equivalent atoms:
Rb  0.000  0.000  0.000 x1
Ba  0.000  0.500  0.500 x2
Ca  0.500  0.500  0.000 x1
Ge  0.500  0.500  0.500 x1

Formation enthalpy at 0 K: -0.80 eV per formula unit
Fermi-level density of states: 3.61 states/eV per cell
M_tot: 0.33 μB per formula unit
Mass density: 2916 kg/m³
Crystal system: tetragonal

***

Record 8
Computed, not measured: a relaxed BaCa2ReGe crystal at the PBE level of DFT.

Cell lengths 5.854, 5.854, 4.961 Å; angles 90.00, 90.00, 90.00 degrees
Space group P4/mmm (No. 123)
One atom of each set of equivalent atoms:
Ba  0.000  0.000  0.000 x1
Ca  0.000  0.500  0.000 x2
Re  0.000  0.000  0.500 x1
Ge  0.500  0.500  0.500 x1

Formation enthalpy at 0 K: 8.73 eV per formula unit
Fermi-level density of states: 6.12 states/eV per cell
M_tot: 0.00 μB per formula unit
Mass density: 4651 kg/m³
Crystal system: tetragonal

***

Record 9
Computed, not measured: a relaxed BaCa2GeSb crystal at the PBE level of DFT.

Cell lengths 6.154, 6.154, 5.481 Å; angles 90.00, 90.00, 90.00 degrees
Space group P4/mmm (No. 123)
One atom of each set of equivalent atoms:
Ba  0.000  0.000  0.000 x1
Ca  0.000  0.500  0.000 x2
Ge  0.000  0.000  0.500 x1
Sb  0.500  0.500  0.500 x1

Fermi-level density of states: 7.38 states/eV per cell
M_tot: 0.00 μB per formula unit
Total DFT energy (no corrections): -2.042 eV per atom
Mass density: 3295 kg/m³
Crystal system: tetragonal

***

Record 10
Computed, not measured: a relaxed BaCa2ScGe crystal at the PBE level of DFT.

Cell lengths 6.010, 6.010, 5.307 Å; angles 90.00, 90.00, 90.00 degrees
Space group P4/mmm (No. 123)
One atom of each set of equivalent atoms:
Ba  0.000  0.000  0.000 x1
Ca  0.000  0.500  0.500 x2
Sc  0.500  0.500  0.500 x1
Ge  0.500  0.500  0.000 x1

Formation enthalpy at 0 K: 0.91 eV per formula unit
Fermi-level density of states: 5.51 states/eV per cell
M_tot: 0.03 μB per formula unit
Mass density: 2903 kg/m³
Crystal system: tetragonal

***

Record 11
Computed, not measured: a relaxed BaCa2SiGe crystal at the PBE level of DFT.

Cell lengths 5.608, 5.608, 6.175 Å; angles 90.00, 90.00, 90.00 degrees
Space group P4/mmm (No. 123)
One atom of each set of equivalent atoms:
Ba  0.000  0.000  0.000 x1
Ca  0.000  0.500  0.500 x2
Si  0.000  0.000  0.500 x1
Ge  0.500  0.500  0.000 x1

Fermi-level density of states: 5.70 states/eV per cell
M_tot: 1.15 μB per formula unit
Total DFT energy (no corrections): -3.197 eV per atom
Mass density: 2721 kg/m³
Crystal system: tetragonal

***

Record 12
Computed, not measured: a relaxed BaSr2CaGe crystal at the PBE level of DFT.

Cell lengths 6.265, 6.265, 5.950 Å; angles 90.00, 90.00, 90.00 degrees
Space group P4/mmm (No. 123)
One atom of each set of equivalent atoms:
Ba  0.000  0.000  0.000 x1
Sr  0.000  0.500  0.500 x2
Ca  0.500  0.500  0.000 x1
Ge  0.500  0.500  0.500 x1

Formation enthalpy at 0 K: -1.04 eV per formula unit
Fermi-level density of states: 6.01 states/eV per cell
Polymorph energy (0 for the lowest one): 0 meV/atom
M_tot: 0.00 μB per formula unit
Mass density: 3024 kg/m³
Crystal system: tetragonal